Computed, not measured: a geometry-optimized HfFeB2Ir structure at the GGA-PBE level of DFT.

CIF file:
```
data_HfFeB2Ir
_cell_length_a 3.834
_cell_length_b 3.834
_cell_length_c 4.664
_cell_angle_alpha 90.00
_cell_angle_beta 90.00
_cell_angle_gamma 90.00
_space_group_name_H-M_alt 'P 4/m m m'
_space_group_IT_number 123
_space_group_name_Hall '-P 4 2'
loop_
_atom_site_label
_atom_site_type_symbol
_atom_site_fract_x
_atom_site_fract_y
_atom_site_fract_z
Hf1 Hf 0.000 0.000 0.000
Fe1 Fe 0.000 0.000 0.500
B1 B 0.000 0.500 0.500
Ir1 Ir 0.500 0.500 0.000
```

## Properties
**Energy of formation**: 0.690 eV/atom
**Mass density**: 10.86 g/cm³
**Energy**: -37.2 eV/cell